An optimized crystal structure of KCa2Pb3, computed with PBE-GGA.

## Properties
E = -3.08 eV/atom
Energy of formation = -0.376 eV/atom
Size of the total moment = 0.000 μB/atom

a b c (Å): 3.5833 3.5833 14.9320
angles (deg): 90.00 90.00 90.00
With the nearest neighbours (Å) after each atom.
Sites, in units of the cell vectors:
1 K 0.5000 0.5000 0.5000  4 K 3.58, 8 Pb 3.76
2 Ca 0.5000 0.5000 0.8453  8 Pb 3.43-3.47, 4 Ca 3.58
3 Ca 0.5000 0.5000 0.1547  8 Pb 3.43-3.47, 4 Ca 3.58
4 Pb 0.0000 0.0000 0.0000  8 Ca 3.43, 4 Pb 3.58
5 Pb 0.0000 0.0000 0.6863  4 Ca 3.47, 4 Pb 3.58, 4 K 3.76
6 Pb 0.0000 0.0000 0.3137  4 Ca 3.47, 4 Pb 3.58, 4 K 3.76

***

An optimized crystal structure of KCa2Pb, computed with PBE-GGA.

## Properties
E = -2.32 eV/atom
Energy of formation = -0.121 eV/atom
Size of the total moment = 0.223 μB/atom

a b c (Å): 5.4434 5.4434 4.8022
angles (deg): 90.00 90.00 89.99
With the nearest neighbours (Å) after each atom.
Sites, in units of the cell vectors:
1 Ca 0.0000 0.0000 0.0000  4 Pb 3.63, 4 K 3.63, 4 Ca 3.85
2 Ca 0.5000 0.5000 0.0000  4 K 3.63, 4 Pb 3.63, 4 Ca 3.85
3 K 0.5000 0.0000 0.5000  8 Ca 3.63, 4 Pb 3.85
4 Pb 0.0000 0.5000 0.5000  8 Ca 3.63, 4 K 3.85

***

An optimized crystal structure of KCa2RhPb, computed with PBE-GGA.

## Properties
E = -3.49 eV/atom
Energy of formation = -0.255 eV/atom
Size of the total moment = 0.016 μB/atom

a b c (Å): 5.6068 5.6068 5.3451
angles (deg): 90.00 90.00 90.00
With the nearest neighbours (Å) after each atom.
Sites, in units of the cell vectors:
1 Pb 0.0000 0.0000 0.5000  2 Rh 2.67
2 Ca 0.0000 0.5000 0.0000  2 Rh 2.80
3 Ca 0.5000 0.0000 0.0000  2 Rh 2.80
4 Rh 0.0000 0.0000 0.0000  2 Pb 2.67, 4 Ca 2.80
5 K 0.5000 0.5000 0.5000  8 Ca 3.87, 4 Pb 3.96